Here is a relaxed Ac8La3Tm2 crystal from Alexandria via LeMat-Bulk. Energies are from PBE.

a = 8.419 Å, b = 21.194 Å, c = 6.195 Å
α = 90.00°, β = 90.00°, γ = 90.00°
Space group Cmmm (No. 65)
Asymmetric unit:
Ac  0.000  0.134  0.000 (multiplicity 4)
Ac  0.000  0.323  0.000 (multiplicity 4)
Ac  0.211  0.391  0.500 (multiplicity 8)
La  0.000  0.000  0.500 (multiplicity 2)
La  0.203  0.500  0.000 (multiplicity 4)
Tm  0.000  0.241  0.500 (multiplicity 4)

Values from the calculation:
- Energy of formation: 2.8 eV/f.u.
- Total magnetization: 0.0 μB/cell